(1)
## CsZr2Sb2 (PBE)

Data for crystalline CsZr2Sb2 at its relaxed geometry.

Cell and atoms, written as POSCAR:
```
CsZr2Sb2
1.0
-1.9339 2.0806 -3.8350
-3.7038 -3.0000 0.2401
-6.7018 4.7157 2.9685
Cs Sb Zr
1 2 2
Direct
0.0000 0.0000 0.0000
0.3530 0.3530 0.2940
0.6470 0.6470 0.7060
0.7500 0.2500 0.5000
0.2500 0.7500 0.5000
```

Calculated values
formation energy without anion corrections: -0.44 eV/atom

=====

(2)
## La2AlCdN (PBE)

Data for crystalline La2AlCdN at its relaxed geometry.

Cell and atoms, written as POSCAR:
```
La2AlCdN
1.0
-5.0869 -0.2679 -1.5518
1.0883 -4.3907 -2.8097
-0.8587 -2.2642 3.2057
N Cd Al La
1 1 1 2
Direct
0.0000 0.0000 0.0000
0.5000 0.5000 0.5000
0.0000 0.0000 0.5000
0.0000 0.5000 0.0000
0.5000 0.0000 0.0000
```

Calculated values
formation energy without anion corrections: -0.63 eV/atom